Material: Tl6SbAs
Method: DFT, GGA-PBE
State: optimized geometry

Output
volume = 497.71 Å³/cell
raw total energy = -2.86 eV/atom
ρ = 9495 kg/m³
total magnetization = 0.0000 μB per atom
ΔE_f (raw) = 0.0087 eV/atom

Cell and atoms, written as CIF:
```
data_Tl6SbAs
_chemical_formula_sum 'Tl12 Sb2 As2'
_symmetry_space_group_name_H-M 'A m m 2'
_symmetry_Int_Tables_number 38
_symmetry_space_group_name_Hall 'A 2 -2'
_cell_length_a 4.6477
_cell_length_b 9.1413
_cell_length_c 11.7148
_cell_angle_alpha 90.00
_cell_angle_beta 90.00
_cell_angle_gamma 90.00
loop_
_atom_site_label
_atom_site_fract_x
_atom_site_fract_y
_atom_site_fract_z
_atom_site_occupancy
Tl1 0.0000 0.0000 0.0000 1
Tl2 0.0000 0.1947 0.2755 1
Tl3 0.5000 0.0000 0.7733 1
Tl4 0.5000 0.2226 0.5016 1
Sb1 0.0000 0.0000 0.5792 1
As1 0.5000 0.0000 0.1762 1
```